Record 1
{
  "formula": "RbTe5Au3",
  "functional": "PBE-GGA",
  "state": "relaxed",
  "sg": "No. 191",
  "energy_ev_per_fu": -26.613,
  "lattice_angstrom": [[5.944, 0.000, 0.000], [-2.972, 5.148, 0.000], [0.000, 0.000, 8.565]],
  "species": ["Rb", "Te", "Te", "Te", "Te", "Te", "Au", "Au", "Au"],
  "fractional_positions": [[0.000, 0.000, 0.000], [0.000, 0.000, 0.500], [0.333, 0.667, 0.158], [0.333, 0.667, 0.842], [0.667, 0.333, 0.158], [0.667, 0.333, 0.842], [0.000, 0.500, 0.500], [0.500, 0.000, 0.500], [0.500, 0.500, 0.500]]
}

Record 2
{
  "formula": "Rb2Te2Au",
  "functional": "PBE-GGA",
  "state": "relaxed",
  "sg": "No. 2",
  "e_above_lowest_polymorph_mev_per_atom": 0,
  "energy_ev_per_fu": -14.780,
  "lattice_angstrom": [[4.204, 0.000, 0.000], [2.102, 6.557, 0.000], [0.016, 1.539, 7.205]],
  "species": ["Rb", "Rb", "Te", "Te", "Au"],
  "fractional_positions": [[0.157, 0.189, 0.223], [0.843, 0.811, 0.777], [0.108, 0.281, 0.709], [0.892, 0.719, 0.291], [0.500, 0.500, 0.500]]
}

Record 3
{
  "formula": "Rb2Te2Au",
  "functional": "PBE-GGA",
  "state": "relaxed",
  "sg": "No. 123",
  "e_above_lowest_polymorph_mev_per_atom": 425,
  "energy_ev_per_fu": -12.655,
  "lattice_angstrom": [[6.726, 0.000, 0.000], [0.000, 6.726, 0.000], [0.000, 0.000, 5.706]],
  "species": ["Rb", "Rb", "Te", "Te", "Au"],
  "fractional_positions": [[0.000, 0.500, 0.000], [0.500, 0.000, 0.000], [0.000, 0.000, 0.264], [0.000, 0.000, 0.736], [0.500, 0.500, 0.500]]
}

Record 4
{
  "formula": "RbThTe3Au",
  "functional": "PBE-GGA",
  "state": "relaxed",
  "sg": "No. 63",
  "energy_ev_per_fu": -27.164,
  "lattice_angstrom": [[2.253, -8.241, 0.000], [2.253, 8.241, 0.000], [0.000, 0.000, 11.642]],
  "species": ["Rb", "Rb", "Th", "Th", "Te", "Te", "Te", "Te", "Te", "Te", "Au", "Au"],
  "fractional_positions": [[0.246, 0.754, 0.750], [0.754, 0.246, 0.250], [0.000, 0.000, 0.000], [0.000, 0.000, 0.500], [0.072, 0.928, 0.250], [0.370, 0.630, 0.052], [0.370, 0.630, 0.448], [0.630, 0.370, 0.552], [0.630, 0.370, 0.948], [0.928, 0.072, 0.750], [0.466, 0.534, 0.250], [0.534, 0.466, 0.750]]
}

Record 5
{
  "formula": "RbTe4WAu3",
  "functional": "PBE-GGA",
  "state": "relaxed",
  "sg": "No. 215",
  "energy_ev_per_fu": -36.126,
  "lattice_angstrom": [[6.823, 0.000, 0.000], [0.000, 6.823, 0.000], [0.000, 0.000, 6.823]],
  "species": ["Rb", "Te", "Te", "Te", "Te", "W", "Au", "Au", "Au"],
  "fractional_positions": [[0.000, 0.000, 0.000], [0.280, 0.280, 0.280], [0.280, 0.720, 0.720], [0.720, 0.280, 0.720], [0.720, 0.720, 0.280], [0.500, 0.500, 0.500], [0.000, 0.500, 0.500], [0.500, 0.000, 0.500], [0.500, 0.500, 0.000]]
}

Record 6
{
  "formula": "RbZrTe3Au",
  "functional": "PBE-GGA",
  "state": "relaxed",
  "sg": "No. 63",
  "energy_ev_per_fu": -26.758,
  "lattice_angstrom": [[2.085, -8.245, 0.000], [2.085, 8.245, 0.000], [0.000, 0.000, 11.095]],
  "species": ["Rb", "Rb", "Zr", "Zr", "Te", "Te", "Te", "Te", "Te", "Te", "Au", "Au"],
  "fractional_positions": [[0.241, 0.759, 0.750], [0.759, 0.241, 0.250], [0.000, 0.000, 0.000], [0.000, 0.000, 0.500], [0.071, 0.929, 0.250], [0.375, 0.625, 0.038], [0.375, 0.625, 0.462], [0.625, 0.375, 0.538], [0.625, 0.375, 0.962], [0.929, 0.071, 0.750], [0.459, 0.541, 0.250], [0.541, 0.459, 0.750]]
}